Material: La2Tb5Ho4
Method: DFT, GGA-PBE
State: relaxed

abc: 8.9379 8.9379 6.7418
angles: 99.95 99.95 43.98
Sites, in units of the cell vectors:
La 0.2005 0.2005 0.2982
La 0.7995 0.7995 0.7018
Tb 0.0000 0.0000 0.5000
Tb 0.1755 0.6482 0.0933
Tb 0.3518 0.8245 0.9067
Tb 0.6482 0.1755 0.0933
Tb 0.8245 0.3518 0.9067
Ho 0.2435 0.2435 0.8070
Ho 0.4133 0.4133 0.5941
Ho 0.5867 0.5867 0.4059
Ho 0.7565 0.7565 0.1930

Computed properties:
DFT formation energy: 0.155 eV per atom

Material: Li2Bi5Pd12
Method: DFT, GGA-PBE
State: relaxed

abc: 8.1488 8.1488 9.5728
angles: 106.51 106.51 40.20
Sites, in units of the cell vectors:
Li 0.2376 0.7624 0.0000
Li 0.7624 0.2376 0.0000
Bi 0.0000 0.0000 0.5000
Bi 0.3221 0.3221 0.6595
Bi 0.3538 0.3538 0.1466
Bi 0.6462 0.6462 0.8534
Bi 0.6779 0.6779 0.3405
Pd 0.0529 0.5702 0.8972
Pd 0.0941 0.5818 0.3978
Pd 0.1206 0.1206 0.3117
Pd 0.4182 0.9059 0.6022
Pd 0.4298 0.9471 0.1028
Pd 0.4900 0.4900 0.6369
Pd 0.5100 0.5100 0.3631
Pd 0.5702 0.0529 0.8972
Pd 0.5818 0.0941 0.3978
Pd 0.8794 0.8794 0.6883
Pd 0.9059 0.4182 0.6022
Pd 0.9471 0.4298 0.1028

Computed properties:
DFT formation energy: -0.171 eV per atom

Material: Sr2In2I
Method: DFT, GGA-PBE
State: relaxed

abc: 9.4509 9.4509 4.3635
angles: 90.00 90.00 90.00
Sites, in units of the cell vectors:
Sr 0.1915 0.3085 0.0000
Sr 0.3085 0.8085 0.0000
Sr 0.6915 0.1915 0.0000
Sr 0.8085 0.6915 0.0000
In 0.1053 0.6053 0.5000
In 0.3947 0.1053 0.5000
In 0.6053 0.8947 0.5000
In 0.8947 0.3947 0.5000
I 0.0000 0.0000 0.0000
I 0.5000 0.5000 0.0000

Computed properties:
formation energy (no corrections): -0.5593 eV/atom

Material: NiTePd
Method: DFT, GGA-PBE
State: relaxed

abc: 8.4996 3.7762 6.7190
angles: 90.00 91.70 90.00
Sites, in units of the cell vectors:
Ni 0.0000 0.0000 0.0000
Ni 0.1997 0.5000 0.1055
Ni 0.5000 0.5000 0.0000
Ni 0.6997 0.0000 0.1055
Te 0.1105 0.0000 0.3947
Te 0.2908 0.0000 0.8780
Te 0.6105 0.5000 0.3947
Te 0.7908 0.5000 0.8780
Pd 0.0663 0.5000 0.6996
Pd 0.4073 0.0000 0.2722
Pd 0.5663 0.0000 0.6996
Pd 0.9073 0.5000 0.2722

Computed properties:
formation energy (no corrections): -0.1351 eV/atom

Material: AsRhNF2
Method: DFT, GGA-PBE
State: relaxed

abc: 4.3311 4.3311 3.7246
angles: 90.00 90.00 90.00
Sites, in units of the cell vectors:
As 0.0000 0.0000 0.0000
Rh 0.5000 0.5000 0.5000
N 0.5000 0.5000 0.0000
F 0.0000 0.5000 0.5000
F 0.5000 0.0000 0.5000

Computed properties:
formation energy (no corrections): 0.0812 eV/atom

Material: Cd2BiB
Method: DFT, GGA-PBE
State: relaxed

abc: 7.1219 7.1219 7.1219
angles: 90.00 90.00 90.00
Sites, in units of the cell vectors:
Cd 0.2500 0.2500 0.2500
Cd 0.2500 0.2500 0.7500
Cd 0.2500 0.7500 0.2500
Cd 0.2500 0.7500 0.7500
Cd 0.7500 0.2500 0.2500
Cd 0.7500 0.2500 0.7500
Cd 0.7500 0.7500 0.2500
Cd 0.7500 0.7500 0.7500
Bi 0.0000 0.0000 0.0000
Bi 0.0000 0.5000 0.5000
Bi 0.5000 0.0000 0.5000
Bi 0.5000 0.5000 0.0000
B 0.0000 0.0000 0.5000
B 0.0000 0.5000 0.0000
B 0.5000 0.0000 0.0000
B 0.5000 0.5000 0.5000

Computed properties:
DFT formation energy: 1.008 eV per atom

Material: Li2FeSe
Method: DFT, GGA-PBE
State: relaxed

abc: 2.8671 2.8671 25.9425
angles: 90.00 90.00 120.00
Sites, in units of the cell vectors:
Li 0.0000 0.0000 0.2460
Li 0.0000 0.0000 0.7540
Li 0.3333 0.6667 0.4207
Li 0.3333 0.6667 0.9127
Li 0.6667 0.3333 0.0873
Li 0.6667 0.3333 0.5793
Fe 0.0000 0.0000 0.0000
Fe 0.3333 0.6667 0.6667
Fe 0.6667 0.3333 0.3333
Se 0.0000 0.0000 0.5000
Se 0.3333 0.6667 0.1667
Se 0.6667 0.3333 0.8333

Computed properties:
formation energy (no corrections): 0.0432 eV/atom

Material: BeV4Os5
Method: DFT, GGA-PBE
State: relaxed

abc: 2.9925 2.9925 14.8449
angles: 90.00 90.00 90.00
Sites, in units of the cell vectors:
Be 0.0000 0.0000 0.0000
V 0.0000 0.0000 0.1864
V 0.0000 0.0000 0.3960
V 0.0000 0.0000 0.6040
V 0.0000 0.0000 0.8136
Os 0.5000 0.5000 0.0924
Os 0.5000 0.5000 0.2958
Os 0.5000 0.5000 0.5000
Os 0.5000 0.5000 0.7042
Os 0.5000 0.5000 0.9076

Computed properties:
DFT formation energy: -0.287 eV per atom

Material: LiNb4Se8
Method: DFT, GGA-PBE
State: relaxed

abc: 7.0023 7.0023 9.1482
angles: 124.73 124.73 60.01
Sites, in units of the cell vectors:
Li 0.0000 0.0000 0.0000
Nb 0.2523 0.2523 0.5000
Nb 0.2565 0.7435 0.5000
Nb 0.7435 0.2565 0.5000
Nb 0.7477 0.7477 0.5000
Se 0.0374 0.0374 0.7406
Se 0.0398 0.5350 0.7445
Se 0.4611 0.4611 0.2533
Se 0.4650 0.9602 0.2555
Se 0.5350 0.0398 0.7445
Se 0.5389 0.5389 0.7467
Se 0.9602 0.4650 0.2555
Se 0.9626 0.9626 0.2594

Computed properties:
formation energy (no corrections): -0.8820 eV/atom

Material: LaTi2VPd
Method: DFT, GGA-PBE
State: relaxed

abc: 4.8419 4.8419 5.4658
angles: 90.00 90.00 90.00
Sites, in units of the cell vectors:
La 0.0000 0.0000 0.0000
Ti 0.0000 0.5000 0.5000
Ti 0.5000 0.0000 0.5000
V 0.5000 0.5000 0.0000
Pd 0.0000 0.0000 0.5000

Computed properties:
DFT formation energy: 0.928 eV per atom

Material: Rb10NaHg3
Method: DFT, GGA-PBE
State: relaxed

abc: 13.7504 13.7504 13.7504
angles: 60.00 60.00 60.00
Sites, in units of the cell vectors:
Rb 0.0000 0.0000 0.3345
Rb 0.0000 0.0000 0.6656
Rb 0.0000 0.3345 0.0000
Rb 0.0000 0.3345 0.6656
Rb 0.0000 0.6656 0.0000
Rb 0.0000 0.6656 0.3345
Rb 0.1462 0.6180 0.6180
Rb 0.3345 0.0000 0.0000
Rb 0.3345 0.0000 0.6656
Rb 0.3345 0.6656 0.0000
Rb 0.3820 0.3820 0.3820
Rb 0.3820 0.3820 0.8538
Rb 0.3820 0.8538 0.3820
Rb 0.6180 0.1462 0.6180
Rb 0.6180 0.6180 0.1462
Rb 0.6180 0.6180 0.6180
Rb 0.6656 0.0000 0.0000
Rb 0.6656 0.0000 0.3345
Rb 0.6656 0.3345 0.0000
Rb 0.8538 0.3820 0.3820
Na 0.2500 0.2500 0.2500
Na 0.7500 0.7500 0.7500
Hg 0.2712 0.2712 0.7288
Hg 0.2712 0.7288 0.2712
Hg 0.2712 0.7288 0.7288
Hg 0.7288 0.2712 0.2712
Hg 0.7288 0.2712 0.7288
Hg 0.7288 0.7288 0.2712

Computed properties:
DFT formation energy: -0.075 eV per atom

Material: Na3Hg
Method: DFT, GGA-PBE
State: relaxed

abc: 4.8784 4.8784 4.8774
angles: 90.00 90.00 90.00
Sites, in units of the cell vectors:
Na 0.0000 0.0000 0.0000
Na 0.0000 0.5000 0.4996
Na 0.5000 0.0000 0.4996
Hg 0.5000 0.5000 0.9991

Computed properties:
DFT formation energy: -0.145 eV per atom

Material: PaBiPd3
Method: DFT, GGA-PBE
State: relaxed

abc: 5.0602 5.0602 8.7042
angles: 90.00 90.00 90.00
Sites, in units of the cell vectors:
Pa 0.0000 0.0000 0.0000
Pa 0.5000 0.5000 0.5000
Bi 0.0000 0.0000 0.3756
Bi 0.5000 0.5000 0.8756
Pd 0.0000 0.0000 0.7138
Pd 0.0000 0.5000 0.1329
Pd 0.0000 0.5000 0.6329
Pd 0.5000 0.0000 0.1329
Pd 0.5000 0.0000 0.6329
Pd 0.5000 0.5000 0.2138

Computed properties:
DFT formation energy: -0.235 eV per atom

Material: HfSiTe2N
Method: DFT, GGA-PBE
State: relaxed

abc: 5.6968 5.6968 3.9717
angles: 90.00 90.00 90.00
Sites, in units of the cell vectors:
Hf 0.0000 0.0000 0.0000
Si 0.5000 0.5000 0.5000
Te 0.0000 0.5000 0.0000
Te 0.5000 0.0000 0.0000
N 0.0000 0.0000 0.5000

Computed properties:
formation energy (no corrections): 0.2815 eV/atom

Material: ReAsRu2
Method: DFT, GGA-PBE
State: relaxed

abc: 4.0489 4.0489 3.5823
angles: 90.00 90.00 90.00
Sites, in units of the cell vectors:
Re 0.0000 0.0000 0.0000
As 0.5000 0.5000 0.0000
Ru 0.0000 0.5000 0.5000
Ru 0.5000 0.0000 0.5000

Computed properties:
DFT formation energy: 0.446 eV per atom

Material: TeH2I4
Method: DFT, GGA-PBE
State: relaxed

abc: 4.2252 4.8523 15.7546
angles: 81.28 87.98 64.37
Sites, in units of the cell vectors:
Te 0.0000 0.0000 0.0000
H 0.4748 0.5171 0.6821
H 0.5252 0.4829 0.3179
I 0.2476 0.3949 0.3776
I 0.4964 0.0433 0.8637
I 0.5036 0.9567 0.1363
I 0.7524 0.6051 0.6224

Computed properties:
uncorrected energy: -2.2710 eV/atom

Material: HfRu5
Method: DFT, GGA-PBE
State: relaxed

abc: 3.8724 12.1073 3.8611
angles: 90.00 90.00 90.00
Sites, in units of the cell vectors:
Hf 0.0000 0.0000 0.0000
Hf 0.5000 0.5000 0.0000
Ru 0.0000 0.1772 0.5000
Ru 0.0000 0.3208 0.0000
Ru 0.0000 0.5000 0.5000
Ru 0.0000 0.6792 0.0000
Ru 0.0000 0.8228 0.5000
Ru 0.5000 0.0000 0.5000
Ru 0.5000 0.1792 0.0000
Ru 0.5000 0.3228 0.5000
Ru 0.5000 0.6772 0.5000
Ru 0.5000 0.8208 0.0000

Computed properties:
DFT formation energy: -0.154 eV per atom

Material: V2CrIn2
Method: DFT, GGA-PBE
State: relaxed

abc: 3.4733 3.4733 15.2680
angles: 90.00 90.00 90.00
Sites, in units of the cell vectors:
V 0.0000 0.5000 0.2500
V 0.0000 0.5000 0.7500
V 0.5000 0.0000 0.2500
V 0.5000 0.0000 0.7500
Cr 0.0000 0.0000 0.0000
Cr 0.5000 0.5000 0.5000
In 0.0000 0.0000 0.3994
In 0.0000 0.0000 0.6006
In 0.5000 0.5000 0.1006
In 0.5000 0.5000 0.8994

Computed properties:
DFT formation energy: 0.523 eV per atom

Material: Ac2Tl6In
Method: DFT, GGA-PBE
State: relaxed

abc: 7.0494 7.0494 6.5123
angles: 90.04 90.04 60.00
Sites, in units of the cell vectors:
Ac 0.1675 0.1675 0.3371
Ac 0.8325 0.8325 0.6629
Tl 0.1415 0.6789 0.1749
Tl 0.3209 0.3209 0.8225
Tl 0.3211 0.8585 0.8251
Tl 0.6789 0.1415 0.1749
Tl 0.6791 0.6791 0.1775
Tl 0.8585 0.3211 0.8251
In 0.5000 0.5000 0.5000

Computed properties:
DFT formation energy: -0.249 eV per atom

Material: CrPtSN2
Method: DFT, GGA-PBE
State: relaxed

abc: 3.5820 3.5820 5.2417
angles: 90.00 90.00 90.00
Sites, in units of the cell vectors:
Cr 0.0000 0.0000 0.0000
Pt 0.5000 0.5000 0.5000
S 0.0000 0.0000 0.5000
N 0.0000 0.5000 0.0000
N 0.5000 0.0000 0.0000

Computed properties:
formation energy (no corrections): 0.6726 eV/atom

DOS at the Fermi energy: 1.533, 0.429, 0.955, 0.794, 0.754, 0.339, 0.954, 0.637, 0.540, 1.927, 0.796, 0.286, 0.723, 0.964, 1.623, 0.009, 1.024, 0.959, 0.408, 0.583 (states/eV/atom)
Magnetic moment: 0.000, 0.000, 0.000, 0.000, 0.451, 0.000, 6.808, 0.000, 0.000, 1.610, 0.000, 0.000, 0.000, 0.001, 0.780, 0.000, 0.000, 6.263, 0.000, 0.395 (μB/cell)